## LiLaMg (PBE)

Data for crystalline LiLaMg at its relaxed geometry.

The structure belongs to space group I4mm (No. 107); the cell edges are 3.512, 3.512 and 13.147 Å and the angles 90.00°, 90.00° and 90.00°. Symmetry generates all atoms from Li at (0.000, 0.000, 0.000), La at (0.000, 0.000, 0.689) and Mg at (0.000, 0.000, 0.380).

For the energy above the lowest structure with this stoichiometry, the calculation gives 56 meV/atom. The calculated volume comes out at 162.12 Å³ per cell. For the formation energy, the calculation gives 0.08 eV per formula unit. Its density of states at the Fermi level is 4.0 states/eV/f.u.


## SrGa2Au10 (PBE)

Data for crystalline SrGa2Au10 at its relaxed geometry.

The structure belongs to space group Fmmm (No. 69); the cell edges are 5.582, 12.796 and 14.277 Å and the angles 90.00°, 90.00° and 90.00°. Symmetry generates all atoms from Sr at (0.000, 0.000, 0.000), Ga at (0.250, 0.000, 0.250), Au at (0.000, 0.111, 0.382), Au at (0.000, 0.165, 0.173) and Au at (0.250, 0.250, 0.000).

The calculated volume comes out at 1019.79 Å³ per cell. For the formation energy, the calculation gives -3.15 eV per formula unit. Its density of states at the Fermi level is 4.0 states/eV/f.u.


## MgSc2Al2Ni5 (PBE)

Data for crystalline MgSc2Al2Ni5 at its relaxed geometry.

The structure belongs to space group P4/mbm (No. 127); the cell edges are 9.196, 9.196 and 3.484 Å and the angles 90.00°, 90.00° and 90.00°. Symmetry generates all atoms from Mg at (0.000, 0.000, 0.000), Sc at (0.178, 0.322, 0.000), Al at (0.119, 0.619, 0.000), Ni at (0.000, 0.500, 0.500) and Ni at (0.065, 0.787, 0.500).

The calculated volume comes out at 294.61 Å³ per cell. For the formation energy, the calculation gives -3.80 eV per formula unit. Its density of states at the Fermi level is 6.1 states/eV/f.u.


## ZrSbPb (PBE)

Data for crystalline ZrSbPb at its relaxed geometry.

The structure belongs to space group Fmm2 (No. 42); the cell edges are 4.144, 5.006 and 15.940 Å and the angles 90.00°, 90.00° and 90.00°. Symmetry generates all atoms from Zr at (0.000, 0.000, 0.000), Sb at (0.000, 0.000, 0.634) and Pb at (0.000, 0.000, 0.346).

For the energy above the lowest structure with this stoichiometry, the calculation gives 153 meV/atom. The calculated volume comes out at 330.64 Å³ per cell. The uncorrected formation energy comes out at -155 meV/atom. Its density of states at the Fermi level is 1.9 states/eV/f.u.


## Zr6VOs5 (PBE)

Data for crystalline Zr6VOs5 at its relaxed geometry.

The structure belongs to space group Immm (No. 71); the cell edges are 4.662, 6.585 and 13.989 Å and the angles 90.00°, 90.00° and 90.00°. Symmetry generates all atoms from Zr at (0.000, 0.248, 0.000), Zr at (0.000, 0.252, 0.332), V at (0.000, 0.000, 0.500), Os at (0.000, 0.000, 0.167), Os at (0.000, 0.500, 0.165) and Os at (0.000, 0.500, 0.500).

The calculated volume comes out at 429.42 Å³ per cell. For the formation energy, the calculation gives -5.17 eV per formula unit. Its density of states at the Fermi level is 5.4 states/eV/f.u.


## Gd2CuC (PBE)

Data for crystalline Gd2CuC at its relaxed geometry.

The structure belongs to space group R-3m (No. 166, hexagonal axes); the cell edges are 3.6774, 3.6774 and 21.0177 Å and the angles 90.00°, 90.00° and 120.00°. Symmetry generates all atoms from Gd at (0.0000, 0.0000, 0.2312), Cu at (0.0000, 0.0000, 0.0000) and C at (0.0000, 0.0000, 0.5000).

The calculated volume comes out at 246.14 Å³ per cell. For the formation energy, the calculation gives -0.53 eV per formula unit. Its density of states at the Fermi level is 2.4 states/eV/f.u.